(1)
NaHgRhPb | Alexandria | GGA-PBE | relaxed; N(E_F) = 1.88 states/eV per cell; spin magnetization = 0.00 μB per formula unit; formation energy = -1.9 kJ/mol of atoms; E_tot = -3.190 eV per atom; SG = F-43m (216)
1.0
0.0000 3.4429 3.4429
3.4429 0.0000 3.4429
3.4429 3.4429 0.0000
Na Hg Rh Pb
1 1 1 1
direct
0.0000 0.0000 0.0000
0.7500 0.7500 0.7500
0.5000 0.5000 0.5000
0.2500 0.2500 0.2500

***

(2)
NaHg2SbPb2 | Alexandria | GGA-PBE | relaxed; N(E_F) = 3.25 states/eV per cell; formation energy without anion corrections = -0.08 eV per atom; spin magnetization = 0.00 μB per formula unit; E_tot = -2.321 eV per atom; SG = Pmc2_1 (26)
1.0
4.4847 0.0000 0.0000
0.0000 10.5482 0.0000
0.0000 0.0000 7.2394
Na Hg Sb Pb
2 4 2 4
direct
0.0000 0.0103 0.0000
0.0000 0.9897 0.5000
0.0000 0.3223 0.0308
0.0000 0.6777 0.5308
0.5000 0.1372 0.2511
0.5000 0.8628 0.7511
0.5000 0.1897 0.7648
0.5000 0.8103 0.2648
0.0000 0.3129 0.5038
0.0000 0.6871 0.0038
0.5000 0.4950 0.7469
0.5000 0.5050 0.2469

***

(3)
Na2Hg2Sb2Pb | Alexandria | GGA-PBE | relaxed; N(E_F) = 1.15 states/eV per cell; formation energy without anion corrections = -0.17 eV per atom; spin magnetization = 0.00 μB per formula unit; E_tot = -2.345 eV per atom; SG = R-3m (166)
1.0
2.5275 1.4593 8.5978
-2.5275 1.4593 8.5978
0.0000 -2.9186 8.5978
Na Hg Sb Pb
2 2 2 1
direct
0.1379 0.1379 0.1379
0.8621 0.8621 0.8621
0.4393 0.4393 0.4393
0.5607 0.5607 0.5607
0.2662 0.2662 0.2662
0.7338 0.7338 0.7338
0.0000 0.0000 0.0000

***

(4)
NaHgSbPb | Alexandria | GGA-PBE | relaxed; N(E_F) = 0.03 states/eV per cell; formation energy without anion corrections = -0.18 eV per atom; spin magnetization = 0.00 μB per formula unit; E_tot = -2.547 eV per atom; SG = F-43m (216)
1.0
0.0000 3.8619 3.8619
3.8619 0.0000 3.8619
3.8619 3.8619 0.0000
Na Hg Sb Pb
1 1 1 1
direct
0.0000 0.0000 0.0000
0.7500 0.7500 0.7500
0.2500 0.2500 0.2500
0.5000 0.5000 0.5000

***

(5)
NaHg2SbPb | Alexandria | GGA-PBE | relaxed; N(E_F) = 2.71 states/eV per cell; formation energy without anion corrections = -0.09 eV per atom; spin magnetization = 0.00 μB per formula unit; E_tot = -2.043 eV per atom; SG = Cmcm (63)
1.0
2.5062 -5.7290 0.0000
2.5062 5.7290 0.0000
0.0000 0.0000 9.8955
Na Hg Sb Pb
2 4 2 2
direct
0.2094 0.7906 0.7500
0.7906 0.2094 0.2500
0.3123 0.6877 0.0358
0.3123 0.6877 0.4642
0.6877 0.3123 0.5358
0.6877 0.3123 0.9642
0.4974 0.5026 0.7500
0.5026 0.4974 0.2500
0.0000 0.0000 0.0000
0.0000 0.0000 0.5000

***

(6)
NaScHgPb2 | Alexandria | GGA-PBE | relaxed; N(E_F) = 3.99 states/eV per cell; spin magnetization = 0.00 μB per formula unit; formation energy = 35.7 kJ/mol of atoms; E_tot = -2.704 eV per atom; SG = P4/mmm (123)
1.0
5.7928 0.0000 0.0000
0.0000 5.7928 0.0000
0.0000 0.0000 5.4356
Na Sc Hg Pb
1 1 1 2
direct
0.0000 0.0000 0.0000
0.5000 0.5000 0.0000
0.5000 0.5000 0.5000
0.0000 0.5000 0.5000
0.5000 0.0000 0.5000

***

(7)
NaScHgPb | Alexandria | GGA-PBE | relaxed; N(E_F) = 2.77 states/eV per cell; relative energy among the computed polymorphs = 0 meV per atom; spin magnetization = 0.11 μB per formula unit; formation energy = -28.0 kJ/mol of atoms; E_tot = -3.205 eV per atom; SG = P4mm (99)
1.0
3.5707 0.0000 0.0000
0.0000 3.5707 0.0000
0.0000 0.0000 7.8756
Na Sc Hg Pb
1 1 1 1
direct
0.0000 0.0000 0.0000
0.0000 0.0000 0.5352
0.5000 0.5000 0.7421
0.5000 0.5000 0.2830

***

(8)
NaScHgPb | Alexandria | GGA-PBE | relaxed; N(E_F) = 1.46 states/eV per cell; relative energy among the computed polymorphs = 28 meV per atom; spin magnetization = 0.00 μB per formula unit; formation energy = -25.3 kJ/mol of atoms; E_tot = -3.177 eV per atom; SG = F-43m (216)
1.0
0.0000 3.6439 3.6439
3.6439 0.0000 3.6439
3.6439 3.6439 0.0000
Na Sc Hg Pb
1 1 1 1
direct
0.0000 0.0000 0.0000
0.5000 0.5000 0.5000
0.2500 0.2500 0.2500
0.7500 0.7500 0.7500

***

(9)
NaSmHgPb | Alexandria | GGA-PBE | relaxed; N(E_F) = 1.59 states/eV per cell; spin magnetization = 0.00 μB per formula unit; formation energy = -37.4 kJ/mol of atoms; E_tot = -2.899 eV per atom; SG = F-43m (216)
1.0
0.0000 3.7976 3.7976
3.7976 0.0000 3.7976
3.7976 3.7976 0.0000
Na Sm Hg Pb
1 1 1 1
direct
0.0000 0.0000 0.0000
0.5000 0.5000 0.5000
0.2500 0.2500 0.2500
0.7500 0.7500 0.7500

***

(10)
NaSnHgPb | Alexandria | GGA-PBE | relaxed; N(E_F) = 1.39 states/eV per cell; relative energy among the computed polymorphs = 0 meV per atom; spin magnetization = 0.00 μB per formula unit; formation energy = -9.2 kJ/mol of atoms; E_tot = -2.428 eV per atom; SG = Cm (8)
1.0
5.5262 -2.3274 0.0000
5.5262 2.3274 0.0000
-1.8658 0.0000 4.2292
Na Sn Hg Pb
1 1 1 1
direct
0.0000 0.0000 0.0000
0.2509 0.2509 0.7497
0.4988 0.4988 0.4998
0.7486 0.7486 0.2482

***

(11)
NaSnHgPb | Alexandria | GGA-PBE | relaxed; N(E_F) = 3.91 states/eV per cell; relative energy among the computed polymorphs = 12 meV per atom; spin magnetization = 0.00 μB per formula unit; formation energy = -8.1 kJ/mol of atoms; E_tot = -2.417 eV per atom; SG = F-43m (216)
1.0
0.0000 3.8038 3.8038
3.8038 0.0000 3.8038
3.8038 3.8038 0.0000
Na Sn Hg Pb
1 1 1 1
direct
0.0000 0.0000 0.0000
0.5000 0.5000 0.5000
0.2500 0.2500 0.2500
0.7500 0.7500 0.7500

***

(12)
NaSnHg4Pb | Alexandria | GGA-PBE | relaxed; N(E_F) = 5.24 states/eV per cell; spin magnetization = 0.00 μB per formula unit; formation energy = 1.3 kJ/mol of atoms; E_tot = -1.450 eV per atom; SG = Cmcm (63)
1.0
3.1419 -10.3981 0.0000
3.1419 10.3981 0.0000
0.0000 0.0000 6.5917
Na Sn Hg Pb
2 2 8 2
direct
0.1115 0.8885 0.7500
0.8885 0.1115 0.2500
0.3476 0.6524 0.2500
0.6524 0.3476 0.7500
0.0000 0.5000 0.0000
0.0000 0.5000 0.5000
0.0584 0.9416 0.2500
0.4899 0.5101 0.2500
0.5000 0.0000 0.0000
0.5000 0.0000 0.5000
0.5101 0.4899 0.7500
0.9416 0.0584 0.7500
0.3605 0.6395 0.7500
0.6395 0.3605 0.2500